First-principles (PBE) data for a relaxed structure of CrPbAu3, as listed in the Alexandria database.

ΔE_f: 21.9 kcal/mol of atoms
calculated volume: 148.5 Å³/f.u.
D(E_F): 1.7 states/eV/cell
total DFT energy (no corrections): -18.42 eV per cell
ΔE to the lowest computed polymorph: 428 meV/atom

```
data_CrPbAu3
_symmetry_space_group_name_H-M 'P m -3 m'
_symmetry_Int_Tables_number 221
_symmetry_space_group_name_Hall '-P 4 2 3'
_cell_length_a 5.295
_cell_length_b 5.295
_cell_length_c 5.295
_cell_angle_alpha 90.00
_cell_angle_beta 90.00
_cell_angle_gamma 90.00
loop_
_atom_site_label
_atom_site_fract_x
_atom_site_fract_y
_atom_site_fract_z
Cr1 0.000 0.000 0.000
Pb1 0.500 0.500 0.500
Au1 0.000 0.500 0.500
```


First-principles (PBE) data for a relaxed structure of Er4CNO2, as listed in the Alexandria database.

calculated volume: 114.1 Å³/f.u.
D(E_F): 3.8 states/eV/cell
E_form (uncorrected): -2.0924 eV per atom
total DFT energy (no corrections): -124.91 eV per cell

```
data_Er4CNO2
_symmetry_space_group_name_H-M 'I 4/m m m'
_symmetry_Int_Tables_number 139
_symmetry_space_group_name_Hall '-I 4 2'
_cell_length_a 4.861
_cell_length_b 4.861
_cell_length_c 9.654
_cell_angle_alpha 90.00
_cell_angle_beta 90.00
_cell_angle_gamma 90.00
loop_
_atom_site_label
_atom_site_fract_x
_atom_site_fract_y
_atom_site_fract_z
Er1 0.000 0.000 0.249
Er2 0.000 0.500 0.000
C1 0.000 0.000 0.500
N1 0.000 0.000 0.000
O1 0.000 0.500 0.250
```


First-principles (PBE) data for a relaxed structure of RbScSe2, as listed in the Alexandria database.

calculated volume: 100.9 Å³/f.u.
D(E_F): 0.5 states/eV/cell
E_form (uncorrected): -0.7730 eV per atom
total DFT energy (no corrections): -17.36 eV per cell

```
data_RbScSe2
_symmetry_space_group_name_H-M 'P 4/m m m'
_symmetry_Int_Tables_number 123
_symmetry_space_group_name_Hall '-P 4 2'
_cell_length_a 5.251
_cell_length_b 5.251
_cell_length_c 3.658
_cell_angle_alpha 90.00
_cell_angle_beta 90.00
_cell_angle_gamma 90.00
loop_
_atom_site_label
_atom_site_fract_x
_atom_site_fract_y
_atom_site_fract_z
Rb1 0.000 0.000 0.000
Sc1 0.500 0.500 0.000
Se1 0.000 0.500 0.500
```


First-principles (PBE) data for a relaxed structure of CoNi3H8, as listed in the Alexandria database.

calculated volume: 66.0 Å³/f.u.
D(E_F): 3.0 states/eV/cell
total DFT energy (no corrections): -50.84 eV per cell
ΔE to the lowest computed polymorph: 4 meV/atom

```
data_CoNi3H8
_symmetry_space_group_name_H-M 'P m -3 m'
_symmetry_Int_Tables_number 221
_symmetry_space_group_name_Hall '-P 4 2 3'
_cell_length_a 4.040
_cell_length_b 4.040
_cell_length_c 4.040
_cell_angle_alpha 90.00
_cell_angle_beta 90.00
_cell_angle_gamma 90.00
loop_
_atom_site_label
_atom_site_fract_x
_atom_site_fract_y
_atom_site_fract_z
Co1 0.000 0.000 0.000
Ni1 0.000 0.500 0.500
H1 0.244 0.244 0.244
```


First-principles (PBE) data for a relaxed structure of Th2AlGa5, as listed in the Alexandria database.

ΔE_f: -10.2 kcal/mol of atoms
calculated volume: 173.5 Å³/f.u.
D(E_F): 9.5 states/eV/cell
total DFT energy (no corrections): -74.50 eV per cell

```
data_Th2AlGa5
_symmetry_space_group_name_H-M 'I 4 m m'
_symmetry_Int_Tables_number 107
_symmetry_space_group_name_Hall 'I 4 -2'
_cell_length_a 6.295
_cell_length_b 6.295
_cell_length_c 8.757
_cell_angle_alpha 90.00
_cell_angle_beta 90.00
_cell_angle_gamma 90.00
loop_
_atom_site_label
_atom_site_fract_x
_atom_site_fract_y
_atom_site_fract_z
Th1 0.000 0.500 0.000
Al1 0.000 0.000 0.499
Ga1 0.000 0.000 0.001
Ga2 0.249 0.249 0.750
```


First-principles (PBE) data for a relaxed structure of TlBr4N2, as listed in the Alexandria database.

calculated volume: 222.5 Å³/f.u.
D(E_F): 2.1 states/eV/cell
E_form (uncorrected): 0.6692 eV per atom
total DFT energy (no corrections): -21.02 eV per cell

```
data_TlBr4N2
_symmetry_space_group_name_H-M 'P -1'
_symmetry_Int_Tables_number 2
_symmetry_space_group_name_Hall '-P 1'
_cell_length_a 5.029
_cell_length_b 6.083
_cell_length_c 8.194
_cell_angle_alpha 81.83
_cell_angle_beta 73.41
_cell_angle_gamma 67.98
loop_
_atom_site_label
_atom_site_fract_x
_atom_site_fract_y
_atom_site_fract_z
Tl1 0.000 0.000 0.000
Br1 0.258 0.188 0.306
Br2 0.497 0.608 0.244
N1 0.394 0.731 0.742
```


First-principles (PBE) data for a relaxed structure of CaInBrF2, as listed in the Alexandria database.

calculated volume: 115.5 Å³/f.u.
D(E_F): 0.0 states/eV/cell
E_form (uncorrected): -2.4938 eV per atom
total DFT energy (no corrections): -45.25 eV per cell

```
data_CaInBrF2
_symmetry_space_group_name_H-M 'P 1 21/m 1'
_symmetry_Int_Tables_number 11
_symmetry_space_group_name_Hall '-P 2yb'
_cell_length_a 6.865
_cell_length_b 4.062
_cell_length_c 8.687
_cell_angle_alpha 90.00
_cell_angle_beta 107.48
_cell_angle_gamma 90.00
loop_
_atom_site_label
_atom_site_fract_x
_atom_site_fract_y
_atom_site_fract_z
Ca1 0.175 0.250 0.423
In1 0.222 0.250 0.936
Br1 0.440 0.750 0.668
F1 0.009 0.750 0.389
F2 0.027 0.250 0.149
```


First-principles (PBE) data for a relaxed structure of La12CeSm3, as listed in the Alexandria database.

ΔE_f: 0.5 kcal/mol of atoms
calculated volume: 569.7 Å³/f.u.
D(E_F): 29.6 states/eV/cell
total DFT energy (no corrections): -78.86 eV per cell

```
data_La12CeSm3
_symmetry_space_group_name_H-M 'P 4/m m m'
_symmetry_Int_Tables_number 123
_symmetry_space_group_name_Hall '-P 4 2'
_cell_length_a 5.222
_cell_length_b 5.222
_cell_length_c 20.890
_cell_angle_alpha 90.00
_cell_angle_beta 90.00
_cell_angle_gamma 90.00
loop_
_atom_site_label
_atom_site_fract_x
_atom_site_fract_y
_atom_site_fract_z
La1 0.000 0.000 0.000
La2 0.000 0.000 0.250
La3 0.000 0.000 0.500
La4 0.000 0.500 0.121
La5 0.000 0.500 0.374
Ce1 0.500 0.500 0.000
Sm1 0.500 0.500 0.249
Sm2 0.500 0.500 0.500
```